# 1
5
Lattice="5.839 0.000 0.000 0.000 5.839 0.000 0.000 0.000 5.839" Properties=species:S:1:pos:R:3 comment="GGA-PBE RbC3Br, relaxed" mass_density_g_cm3=1.68 total_magnetization_mub_per_atom=1.2000 dos_ef_per_ev_atom=2.51 total_energy_ev_per_atom=-1.9871 pbc="T T T"
Rb 0.000 0.000 0.000
Br 2.919 2.919 2.919
C 0.000 2.919 0.000
C 0.000 0.000 2.919
C 2.919 0.000 0.000


# 2
4
Lattice="3.167 0.000 0.000 0.000 3.167 0.000 0.000 0.000 6.357" Properties=species:S:1:pos:R:3 comment="GGA-PBE NbRe2Mo, relaxed" mass_density_g_cm3=14.61 total_magnetization_mub_per_atom=0.0000 dos_ef_per_ev_atom=0.80 formation_energy_ev_per_atom=-0.080 pbc="T T T"
Re 0.000 0.000 4.748
Mo 1.584 1.584 3.179
Nb 1.584 1.584 0.000
Re 0.000 0.000 1.610


# 3
9
Lattice="-2.189 -6.404 1.395 2.767 1.118 -6.232 5.505 2.299 3.487" Properties=species:S:1:pos:R:3 comment="GGA-PBE Pm2Sm2Ga4Sn, relaxed" mass_density_g_cm3=6.78 total_magnetization_mub_per_atom=0.0000 dos_ef_per_ev_atom=0.69 formation_energy_ev_per_atom=-0.222 pbc="T T T"
Ga 4.788 1.990 0.942
Ga 1.020 -2.459 0.012
Ga 5.063 -0.528 -1.362
Pm 3.726 -1.198 1.755
Pm 2.357 -1.789 -3.105
Sn 0.000 0.000 0.000
Ga 3.484 1.427 -3.687
Sm 5.701 2.355 -1.892
Sm 2.571 1.062 -0.853


Repeat the second record exactly.
4
Lattice="3.167 0.000 0.000 0.000 3.167 0.000 0.000 0.000 6.357" Properties=species:S:1:pos:R:3 comment="GGA-PBE NbRe2Mo, relaxed" mass_density_g_cm3=14.61 total_magnetization_mub_per_atom=0.0000 dos_ef_per_ev_atom=0.80 formation_energy_ev_per_atom=-0.080 pbc="T T T"
Re 0.000 0.000 4.748
Mo 1.584 1.584 3.179
Nb 1.584 1.584 0.000
Re 0.000 0.000 1.610